# NaSnAuSe3, optimized geometry, DFT PBE
data_NaSnAuSe3
_space_group_name_H-M_alt 'P n m a'
_space_group_IT_number 62
_cell_length_a 14.0624
_cell_length_b 4.0979
_cell_length_c 10.4885
_cell_angle_alpha 90.00
_cell_angle_beta 90.00
_cell_angle_gamma 90.00
loop_
_space_group_symop_operation_xyz
'x,y,z'
'-x,-y,-z'
'-x+1/2,-y,z+1/2'
'x+1/2,y,-z+1/2'
'x+1/2,-y+1/2,-z+1/2'
'-x+1/2,y+1/2,z+1/2'
'-x,y+1/2,-z'
'x,-y+1/2,z'
loop_
_atom_site_label
_atom_site_type_symbol
_atom_site_fract_x
_atom_site_fract_y
_atom_site_fract_z
Na1 Na 0.1642 0.2500 0.0175
Sn1 Sn 0.0271 0.7500 0.6592
Au1 Au 0.2169 0.7500 0.2390
Se1 Se 0.0444 0.7500 0.1846
Se2 Se 0.1154 0.2500 0.5142
Se3 Se 0.1820 0.7500 0.8065
# ΔE to the lowest computed polymorph = 0 meV per atom